Entry 1:
Computed, not measured: a relaxed structure of Th2CdCoGe at the PBE level of DFT.

- energy of formation from the pure elements (eV/f.u.) = -1.917
- symmetry = P2_1/m, No. 11
- magnetic moment (μB/f.u.) = 0.00
- total DFT energy (no corrections) (Ry per atom) = -0.4321
- D(E_F) (states/eV per atom) = 0.96

abc: 7.658 4.251 7.673
angles: 90.00 107.69 90.00
Atoms (fractional coordinates):
1 Th 0.073 0.250 0.321
2 Th 0.322 0.750 0.071
3 Th 0.678 0.250 0.929
4 Th 0.927 0.750 0.679
5 Cd 0.412 0.750 0.591
6 Cd 0.588 0.250 0.409
7 Co 0.053 0.250 0.947
8 Co 0.947 0.750 0.053
9 Ge 0.248 0.250 0.750
10 Ge 0.752 0.750 0.250



Entry 2:
Computed, not measured: a relaxed structure of MnCoH at the PBE level of DFT.

- symmetry = Cmce, No. 64
- ΔE to the lowest computed polymorph (meV per atom) = 159
- magnetic moment (μB/f.u.) = 0.01
- total DFT energy (no corrections) (Ry per atom) = -0.4682
- D(E_F) (states/eV per atom) = 1.03

abc: 4.794 4.794 4.747
angles: 90.00 90.00 121.32
Atoms (fractional coordinates):
1 Mn 0.212 0.788 0.899
2 Mn 0.288 0.712 0.399
3 Mn 0.712 0.288 0.601
4 Mn 0.788 0.212 0.101
5 Co 0.209 0.291 0.750
6 Co 0.291 0.209 0.250
7 Co 0.709 0.791 0.750
8 Co 0.791 0.709 0.250
9 H 0.102 0.898 0.582
10 H 0.398 0.602 0.082
11 H 0.602 0.398 0.918
12 H 0.898 0.102 0.418



Entry 3:
Computed, not measured: a relaxed structure of CePm3Er2S6 at the PBE level of DFT.

- energy relative to the elements, uncorrected (eV/atom) = -2.015
- symmetry = C2/m, No. 12
- magnetic moment (μB/f.u.) = 0.57
- total DFT energy (no corrections) (Ry per atom) = -0.4793
- D(E_F) (states/eV per atom) = 0.67

abc: 6.879 6.879 6.907
angles: 99.60 99.60 120.12
Atoms (fractional coordinates):
1 Ce 0.000 0.000 0.000
2 Pm 0.165 0.835 0.500
3 Pm 0.500 0.500 0.500
4 Pm 0.835 0.165 0.500
5 Er 0.333 0.667 0.000
6 Er 0.667 0.333 0.000
7 S 0.080 0.421 0.239
8 S 0.262 0.262 0.762
9 S 0.421 0.080 0.239
10 S 0.579 0.920 0.761
11 S 0.738 0.738 0.238
12 S 0.920 0.579 0.761